--- one ---
## BaTl3Pb3 (PBE-GGA)

Data for a relaxed BaTl3Pb3 crystal.

The structure belongs to space group Fm-3m (No. 225); the cell edges are 14.935, 14.935 and 14.935 Å and the angles 90.00°, 90.00° and 90.00°. The inequivalent atoms are Ba at (0.250, 0.250, 0.250), Tl at (0.000, 0.000, 0.150) and Pb at (0.000, 0.000, 0.349).

--- two ---
## BaTl3Pb3 (PBE-GGA)

Data for a relaxed BaTl3Pb3 crystal.

The structure belongs to space group Pm-3n (No. 223); the cell edges are 8.465, 8.465 and 8.465 Å and the angles 90.00°, 90.00° and 90.00°. The inequivalent atoms are Ba at (0.000, 0.000, 0.000), Tl at (0.000, 0.250, 0.500) and Pb at (0.000, 0.500, 0.250).

Most stable: two. Least stable: one.

--- one ---
## BaTl2Pb (PBE-GGA)

Data for a relaxed BaTl2Pb crystal.

The structure belongs to space group R-3m (No. 166, hexagonal axes); the cell edges are 3.8927, 3.8927 and 32.4438 Å and the angles 90.00°, 90.00° and 120.00°. The inequivalent atoms are Ba at (0.0000, 0.0000, 0.0000), Tl at (0.0000, 0.0000, 0.2442) and Pb at (0.0000, 0.0000, 0.5000).

--- two ---
## BaTl2Pb (PBE-GGA)

Data for a relaxed BaTl2Pb crystal.

The structure belongs to space group Imm2 (No. 44); the cell edges are 5.364, 5.369 and 9.583 Å and the angles 90.00°, 90.00° and 90.00°. The inequivalent atoms are Ba at (0.000, 0.000, 0.000), Tl at (0.000, 0.000, 0.500), Tl at (0.000, 0.500, 0.250) and Pb at (0.000, 0.500, 0.750).

Most stable: two. Least stable: one.

--- one ---
## BaTl2Pb (PBE-GGA)

Data for a relaxed BaTl2Pb crystal.

The structure belongs to space group Cm (No. 8); the cell edges are 10.013, 5.048 and 6.086 Å and the angles 90.00°, 111.80° and 90.00°. The inequivalent atoms are Ba at (0.000, 0.000, 0.000), Tl at (0.261, 0.500, 0.316), Tl at (0.497, 0.000, 0.482) and Pb at (0.240, 0.000, 0.687).

--- two ---
## BaTl2Pb (PBE-GGA)

Data for a relaxed BaTl2Pb crystal.

The structure belongs to space group Fm-3m (No. 225); the cell edges are 8.191, 8.191 and 8.191 Å and the angles 90.00°, 90.00° and 90.00°. The inequivalent atoms are Ba at (0.000, 0.000, 0.000), Tl at (0.250, 0.250, 0.250) and Pb at (0.000, 0.000, 0.500).

--- three ---
## BaTl2Pb (PBE-GGA)

Data for a relaxed BaTl2Pb crystal.

The structure belongs to space group R3m (No. 160, hexagonal axes); the cell edges are 4.9594, 4.9594 and 21.9952 Å and the angles 90.00°, 90.00° and 120.00°. The inequivalent atoms are Ba at (0.0000, 0.0000, 0.0000), Tl at (0.0000, 0.0000, 0.4365), Tl at (0.0000, 0.0000, 0.5788) and Pb at (0.0000, 0.0000, 0.1777).

--- four ---
## BaTl2Pb (PBE-GGA)

Data for a relaxed BaTl2Pb crystal.

The structure belongs to space group P4mm (No. 99); the cell edges are 4.218, 4.218 and 7.820 Å and the angles 90.00°, 90.00° and 90.00°. The inequivalent atoms are Ba at (0.000, 0.000, 0.000), Tl at (0.000, 0.000, 0.501), Tl at (0.500, 0.500, 0.710) and Pb at (0.500, 0.500, 0.297).

Most stable: two. Least stable: three.

--- one ---
## BaTl2Pb (PBE-GGA)

Data for a relaxed BaTl2Pb crystal.

The structure belongs to space group I-42d (No. 122); the cell edges are 5.149, 5.149 and 23.149 Å and the angles 90.00°, 90.00° and 90.00°. The inequivalent atoms are Ba at (0.000, 0.000, 0.000), Tl at (0.191, 0.250, 0.625) and Pb at (0.000, 0.000, 0.500).

--- two ---
## BaTl2Pb (PBE-GGA)

Data for a relaxed BaTl2Pb crystal.

The structure belongs to space group C2/m (No. 12); the cell edges are 7.107, 12.100 and 3.693 Å and the angles 90.00°, 117.68° and 90.00°. The inequivalent atoms are Ba at (0.000, 0.000, 0.000), Tl at (0.250, 0.250, 0.500) and Pb at (0.000, 0.500, 0.000).

Most stable: two. Least stable: one.

--- one ---
## BaTl2Pb (PBE-GGA)

Data for a relaxed BaTl2Pb crystal.

The structure belongs to space group Pmmm (No. 47); the cell edges are 5.095, 5.111 and 5.190 Å and the angles 90.00°, 90.00° and 90.00°. The inequivalent atoms are Ba at (0.000, 0.000, 0.000), Tl at (0.000, 0.500, 0.500), Tl at (0.500, 0.000, 0.500) and Pb at (0.500, 0.500, 0.000).

--- two ---
## BaTl2Pb (PBE-GGA)

Data for a relaxed BaTl2Pb crystal.

The structure belongs to space group P2/m (No. 10); the cell edges are 3.957, 5.683 and 6.361 Å and the angles 90.00°, 95.17° and 90.00°. The inequivalent atoms are Ba at (0.000, 0.000, 0.000), Tl at (0.307, 0.500, 0.726) and Pb at (0.500, 0.000, 0.500).

Most stable: one. Least stable: two.

--- one ---
## Ba2TlPb3 (PBE-GGA)

Data for a relaxed Ba2TlPb3 crystal.

The structure belongs to space group Fmmm (No. 69); the cell edges are 8.159, 10.917 and 20.059 Å and the angles 90.00°, 90.00° and 90.00°. The inequivalent atoms are Ba at (0.250, 0.000, 0.000), Ba at (0.250, 0.250, 0.250), Tl at (0.000, 0.000, 0.167), Pb at (0.000, 0.000, 0.333) and Pb at (0.000, 0.247, 0.418).

--- two ---
## Ba2TlPb3 (PBE-GGA)

Data for a relaxed Ba2TlPb3 crystal.

The structure belongs to space group Cm (No. 8); the cell edges are 13.143, 5.148 and 8.409 Å and the angles 90.00°, 128.16° and 90.00°. The inequivalent atoms are Ba at (0.000, 0.000, 0.000), Ba at (0.111, 0.000, 0.607), Tl at (0.398, 0.000, 0.220), Pb at (0.219, 0.500, 0.006), Pb at (0.219, 0.500, 0.389) and Pb at (0.400, 0.000, 0.614).

Most stable: two. Least stable: one.